(1)
# PBE-GGA SmGdPO, relaxed
# raw total energy: -6.83 eV per atom
# volume: 21.0 A^3/atom
# polymorph energy (0 for the lowest one): 202.9 meV per atom
data_SmGdPO
_cell_length_a 4.367
_cell_length_b 4.367
_cell_length_c 8.809
_cell_angle_alpha 90.00
_cell_angle_beta 90.00
_cell_angle_gamma 90.00
_space_group_name_H-M_alt 'P 4/n m m'
_space_group_IT_number 129
loop_
_space_group_symop_operation_xyz
'x,y,z'
'-x,-y,-z'
'-y+1/2,x,z'
'y+1/2,-x,-z'
'-x+1/2,-y+1/2,z'
'x+1/2,y+1/2,-z'
'y,-x+1/2,z'
'-y,x+1/2,-z'
'x+1/2,-y,-z'
'-x+1/2,y,z'
'-y,-x,-z'
'y,x,z'
'-x,y+1/2,-z'
'x,-y+1/2,z'
'y+1/2,x+1/2,-z'
'-y+1/2,-x+1/2,z'
loop_
_atom_site_label
_atom_site_type_symbol
_atom_site_fract_x
_atom_site_fract_y
_atom_site_fract_z
_atom_site_occupancy
Sm1 Sm 0.250 0.250 0.107 1
Gd1 Gd 0.250 0.750 0.500 1
P1 P 0.250 0.250 0.695 1
O1 O 0.250 0.750 0.000 1

(2)
# PBE-GGA SmGdPO, relaxed
# raw total energy: -6.92 eV per atom
# volume: 22.9 A^3/atom
# polymorph energy (0 for the lowest one): 111.2 meV per atom
data_SmGdPO
_cell_length_a 4.233
_cell_length_b 7.745
_cell_length_c 5.585
_cell_angle_alpha 90.00
_cell_angle_beta 90.00
_cell_angle_gamma 90.00
_space_group_name_H-M_alt 'P m c 21'
_space_group_IT_number 26
loop_
_space_group_symop_operation_xyz
'x,y,z'
'-x,-y,z+1/2'
'-x,y,z'
'x,-y,z+1/2'
loop_
_atom_site_label
_atom_site_type_symbol
_atom_site_fract_x
_atom_site_fract_y
_atom_site_fract_z
_atom_site_occupancy
Sm1 Sm 0.000 0.130 0.000 1
Gd1 Gd 0.500 0.296 0.469 1
P1 P 0.500 0.348 0.969 1
O1 O 0.000 0.172 0.436 1

(3)
# PBE-GGA SmGdPO, relaxed
# raw total energy: -6.93 eV per atom
# volume: 23.4 A^3/atom
# polymorph energy (0 for the lowest one): 101.7 meV per atom
data_SmGdPO
_cell_length_a 4.236
_cell_length_b 7.604
_cell_length_c 5.820
_cell_angle_alpha 90.00
_cell_angle_beta 90.00
_cell_angle_gamma 90.00
_space_group_name_H-M_alt 'P m c 21'
_space_group_IT_number 26
loop_
_space_group_symop_operation_xyz
'x,y,z'
'-x,-y,z+1/2'
'-x,y,z'
'x,-y,z+1/2'
loop_
_atom_site_label
_atom_site_type_symbol
_atom_site_fract_x
_atom_site_fract_y
_atom_site_fract_z
_atom_site_occupancy
Sm1 Sm 0.000 0.198 0.000 1
Gd1 Gd 0.500 0.379 0.560 1
P1 P 0.000 0.166 0.496 1
O1 O 0.500 0.330 0.944 1

(4)
# PBE-GGA SmGdPO, relaxed
# raw total energy: -7.03 eV per atom
# volume: 22.2 A^3/atom
# polymorph energy (0 for the lowest one): 0.0 meV per atom
data_SmGdPO
_cell_length_a 3.9586
_cell_length_b 3.9586
_cell_length_c 39.3455
_cell_angle_alpha 90.00
_cell_angle_beta 90.00
_cell_angle_gamma 120.00
_space_group_name_H-M_alt 'R -3 m'
_space_group_IT_number 166
_space_group_name_Hall '-R 3 2"'
loop_
_atom_site_label
_atom_site_type_symbol
_atom_site_fract_x
_atom_site_fract_y
_atom_site_fract_z
_atom_site_occupancy
Sm1 Sm 0.0000 0.0000 0.2091 1
Gd1 Gd 0.0000 0.0000 0.3696 1
P1 P 0.0000 0.0000 0.0862 1
O1 O 0.0000 0.0000 0.3115 1

(5)
# PBE-GGA GdTaPO, relaxed
# raw total energy: -8.15 eV per atom
# volume: 19.4 A^3/atom
# polymorph energy (0 for the lowest one): 494.6 meV per atom
data_GdTaPO
_cell_length_a 3.823
_cell_length_b 7.089
_cell_length_c 5.726
_cell_angle_alpha 90.00
_cell_angle_beta 90.00
_cell_angle_gamma 90.00
_space_group_name_H-M_alt 'P m c 21'
_space_group_IT_number 26
loop_
_space_group_symop_operation_xyz
'x,y,z'
'-x,-y,z+1/2'
'-x,y,z'
'x,-y,z+1/2'
loop_
_atom_site_label
_atom_site_type_symbol
_atom_site_fract_x
_atom_site_fract_y
_atom_site_fract_z
_atom_site_occupancy
Gd1 Gd 0.000 0.215 0.000 1
Ta1 Ta 0.500 0.404 0.505 1
P1 P 0.000 0.179 0.486 1
O1 O 0.500 0.328 0.856 1

(6)
# PBE-GGA GdTaPO, relaxed
# raw total energy: -7.53 eV per atom
# volume: 16.0 A^3/atom
# polymorph energy (0 for the lowest one): 1112.4 meV per atom
data_GdTaPO
_cell_length_a 4.102
_cell_length_b 4.102
_cell_length_c 7.611
_cell_angle_alpha 90.00
_cell_angle_beta 90.00
_cell_angle_gamma 90.00
_space_group_name_H-M_alt 'P 4/n m m'
_space_group_IT_number 129
loop_
_space_group_symop_operation_xyz
'x,y,z'
'-x,-y,-z'
'-y+1/2,x,z'
'y+1/2,-x,-z'
'-x+1/2,-y+1/2,z'
'x+1/2,y+1/2,-z'
'y,-x+1/2,z'
'-y,x+1/2,-z'
'x+1/2,-y,-z'
'-x+1/2,y,z'
'-y,-x,-z'
'y,x,z'
'-x,y+1/2,-z'
'x,-y+1/2,z'
'y+1/2,x+1/2,-z'
'-y+1/2,-x+1/2,z'
loop_
_atom_site_label
_atom_site_type_symbol
_atom_site_fract_x
_atom_site_fract_y
_atom_site_fract_z
_atom_site_occupancy
Gd1 Gd 0.250 0.750 0.000 1
Ta1 Ta 0.250 0.250 0.395 1
P1 P 0.250 0.250 0.745 1
O1 O 0.250 0.750 0.500 1

(7)
# PBE-GGA GdTaPO, relaxed
# raw total energy: -8.48 eV per atom
# volume: 16.3 A^3/atom
# polymorph energy (0 for the lowest one): 167.7 meV per atom
data_GdTaPO
_cell_length_a 4.157
_cell_length_b 4.740
_cell_length_c 6.599
_cell_angle_alpha 90.00
_cell_angle_beta 90.00
_cell_angle_gamma 90.00
_space_group_name_H-M_alt 'P m c 21'
_space_group_IT_number 26
loop_
_space_group_symop_operation_xyz
'x,y,z'
'-x,-y,z+1/2'
'-x,y,z'
'x,-y,z+1/2'
loop_
_atom_site_label
_atom_site_type_symbol
_atom_site_fract_x
_atom_site_fract_y
_atom_site_fract_z
_atom_site_occupancy
Gd1 Gd 0.000 0.157 0.000 1
Ta1 Ta 0.500 0.363 0.353 1
P1 P 0.500 0.144 0.704 1
O1 O 0.000 0.364 0.351 1

(8)
# PBE-GGA GdTaPO, relaxed
# raw total energy: -8.64 eV per atom
# volume: 17.1 A^3/atom
# polymorph energy (0 for the lowest one): 0.0 meV per atom
data_GdTaPO
_cell_length_a 3.940
_cell_length_b 3.940
_cell_length_c 8.827
_cell_angle_alpha 90.00
_cell_angle_beta 90.00
_cell_angle_gamma 90.00
_space_group_name_H-M_alt 'P 4/n m m'
_space_group_IT_number 129
loop_
_space_group_symop_operation_xyz
'x,y,z'
'-x,-y,-z'
'-y+1/2,x,z'
'y+1/2,-x,-z'
'-x+1/2,-y+1/2,z'
'x+1/2,y+1/2,-z'
'y,-x+1/2,z'
'-y,x+1/2,-z'
'x+1/2,-y,-z'
'-x+1/2,y,z'
'-y,-x,-z'
'y,x,z'
'-x,y+1/2,-z'
'x,-y+1/2,z'
'y+1/2,x+1/2,-z'
'-y+1/2,-x+1/2,z'
loop_
_atom_site_label
_atom_site_type_symbol
_atom_site_fract_x
_atom_site_fract_y
_atom_site_fract_z
_atom_site_occupancy
Gd1 Gd 0.250 0.250 0.128 1
Ta1 Ta 0.250 0.750 0.500 1
P1 P 0.250 0.250 0.688 1
O1 O 0.250 0.750 0.000 1

(9)
# PBE-GGA TbGdPO, relaxed
# raw total energy: -6.80 eV per atom
# volume: 20.2 A^3/atom
# polymorph energy (0 for the lowest one): 122.4 meV per atom
data_TbGdPO
_cell_length_a 4.321
_cell_length_b 4.321
_cell_length_c 8.657
_cell_angle_alpha 90.00
_cell_angle_beta 90.00
_cell_angle_gamma 90.00
_space_group_name_H-M_alt 'P 4/n m m'
_space_group_IT_number 129
loop_
_space_group_symop_operation_xyz
'x,y,z'
'-x,-y,-z'
'-y+1/2,x,z'
'y+1/2,-x,-z'
'-x+1/2,-y+1/2,z'
'x+1/2,y+1/2,-z'
'y,-x+1/2,z'
'-y,x+1/2,-z'
'x+1/2,-y,-z'
'-x+1/2,y,z'
'-y,-x,-z'
'y,x,z'
'-x,y+1/2,-z'
'x,-y+1/2,z'
'y+1/2,x+1/2,-z'
'-y+1/2,-x+1/2,z'
loop_
_atom_site_label
_atom_site_type_symbol
_atom_site_fract_x
_atom_site_fract_y
_atom_site_fract_z
_atom_site_occupancy
Tb1 Tb 0.250 0.250 0.103 1
Gd1 Gd 0.250 0.750 0.500 1
P1 P 0.250 0.250 0.700 1
O1 O 0.250 0.750 0.000 1

(10)
# PBE-GGA TbGdPO, relaxed
# raw total energy: -6.82 eV per atom
# volume: 20.3 A^3/atom
# polymorph energy (0 for the lowest one): 103.6 meV per atom
data_TbGdPO
_cell_length_a 4.329
_cell_length_b 4.329
_cell_length_c 8.657
_cell_angle_alpha 90.00
_cell_angle_beta 90.00
_cell_angle_gamma 90.00
_space_group_name_H-M_alt 'P 4/n m m'
_space_group_IT_number 129
loop_
_space_group_symop_operation_xyz
'x,y,z'
'-x,-y,-z'
'-y+1/2,x,z'
'y+1/2,-x,-z'
'-x+1/2,-y+1/2,z'
'x+1/2,y+1/2,-z'
'y,-x+1/2,z'
'-y,x+1/2,-z'
'x+1/2,-y,-z'
'-x+1/2,y,z'
'-y,-x,-z'
'y,x,z'
'-x,y+1/2,-z'
'x,-y+1/2,z'
'y+1/2,x+1/2,-z'
'-y+1/2,-x+1/2,z'
loop_
_atom_site_label
_atom_site_type_symbol
_atom_site_fract_x
_atom_site_fract_y
_atom_site_fract_z
_atom_site_occupancy
Tb1 Tb 0.250 0.750 0.000 1
Gd1 Gd 0.250 0.250 0.395 1
P1 P 0.250 0.250 0.803 1
O1 O 0.250 0.750 0.500 1

(11)
# PBE-GGA TbGdPO, relaxed
# raw total energy: -6.92 eV per atom
# volume: 22.4 A^3/atom
# polymorph energy (0 for the lowest one): 5.4 meV per atom
data_TbGdPO
_cell_length_a 4.174
_cell_length_b 7.634
_cell_length_c 5.626
_cell_angle_alpha 90.00
_cell_angle_beta 90.00
_cell_angle_gamma 90.00
_space_group_name_H-M_alt 'P m c 21'
_space_group_IT_number 26
loop_
_space_group_symop_operation_xyz
'x,y,z'
'-x,-y,z+1/2'
'-x,y,z'
'x,-y,z+1/2'
loop_
_atom_site_label
_atom_site_type_symbol
_atom_site_fract_x
_atom_site_fract_y
_atom_site_fract_z
_atom_site_occupancy
Tb1 Tb 0.000 0.203 0.000 1
Gd1 Gd 0.500 0.375 0.546 1
P1 P 0.000 0.156 0.497 1
O1 O 0.500 0.327 0.954 1

(12)
# PBE-GGA TbGdPO, relaxed
# raw total energy: -6.92 eV per atom
# volume: 22.6 A^3/atom
# polymorph energy (0 for the lowest one): 0.0 meV per atom
data_TbGdPO
_cell_length_a 4.181
_cell_length_b 7.564
_cell_length_c 5.725
_cell_angle_alpha 90.00
_cell_angle_beta 90.00
_cell_angle_gamma 90.00
_space_group_name_H-M_alt 'P m c 21'
_space_group_IT_number 26
loop_
_space_group_symop_operation_xyz
'x,y,z'
'-x,-y,z+1/2'
'-x,y,z'
'x,-y,z+1/2'
loop_
_atom_site_label
_atom_site_type_symbol
_atom_site_fract_x
_atom_site_fract_y
_atom_site_fract_z
_atom_site_occupancy
Tb1 Tb 0.000 0.122 0.000 1
Gd1 Gd 0.500 0.300 0.443 1
P1 P 0.500 0.338 0.939 1
O1 O 0.000 0.172 0.389 1

(13)
# PBE-GGA GdTePO, relaxed
# raw total energy: -5.74 eV per atom
# volume: 21.0 A^3/atom
# polymorph energy (0 for the lowest one): 62.4 meV per atom
data_GdTePO
_cell_length_a 4.065
_cell_length_b 4.065
_cell_length_c 10.187
_cell_angle_alpha 90.00
_cell_angle_beta 90.00
_cell_angle_gamma 90.00
_space_group_name_H-M_alt 'P 4/n m m'
_space_group_IT_number 129
loop_
_space_group_symop_operation_xyz
'x,y,z'
'-x,-y,-z'
'-y+1/2,x,z'
'y+1/2,-x,-z'
'-x+1/2,-y+1/2,z'
'x+1/2,y+1/2,-z'
'y,-x+1/2,z'
'-y,x+1/2,-z'
'x+1/2,-y,-z'
'-x+1/2,y,z'
'-y,-x,-z'
'y,x,z'
'-x,y+1/2,-z'
'x,-y+1/2,z'
'y+1/2,x+1/2,-z'
'-y+1/2,-x+1/2,z'
loop_
_atom_site_label
_atom_site_type_symbol
_atom_site_fract_x
_atom_site_fract_y
_atom_site_fract_z
_atom_site_occupancy
Gd1 Gd 0.250 0.250 0.105 1
Te1 Te 0.250 0.750 0.500 1
P1 P 0.250 0.250 0.729 1
O1 O 0.250 0.750 0.000 1

(14)
# PBE-GGA GdTePO, relaxed
# raw total energy: -5.39 eV per atom
# volume: 20.5 A^3/atom
# polymorph energy (0 for the lowest one): 421.8 meV per atom
data_GdTePO
_cell_length_a 5.698
_cell_length_b 5.698
_cell_length_c 5.060
_cell_angle_alpha 90.00
_cell_angle_beta 90.00
_cell_angle_gamma 90.00
_space_group_name_H-M_alt 'P 4/n m m'
_space_group_IT_number 129
loop_
_space_group_symop_operation_xyz
'x,y,z'
'-x,-y,-z'
'-y+1/2,x,z'
'y+1/2,-x,-z'
'-x+1/2,-y+1/2,z'
'x+1/2,y+1/2,-z'
'y,-x+1/2,z'
'-y,x+1/2,-z'
'x+1/2,-y,-z'
'-x+1/2,y,z'
'-y,-x,-z'
'y,x,z'
'-x,y+1/2,-z'
'x,-y+1/2,z'
'y+1/2,x+1/2,-z'
'-y+1/2,-x+1/2,z'
loop_
_atom_site_label
_atom_site_type_symbol
_atom_site_fract_x
_atom_site_fract_y
_atom_site_fract_z
_atom_site_occupancy
Gd1 Gd 0.250 0.750 0.000 1
Te1 Te 0.250 0.250 0.496 1
P1 P 0.250 0.250 0.991 1
O1 O 0.250 0.750 0.500 1

(15)
# PBE-GGA GdTePO, relaxed
# raw total energy: -5.80 eV per atom
# volume: 24.3 A^3/atom
# polymorph energy (0 for the lowest one): 8.6 meV per atom
data_GdTePO
_cell_length_a 3.700
_cell_length_b 6.864
_cell_length_c 7.668
_cell_angle_alpha 90.00
_cell_angle_beta 90.00
_cell_angle_gamma 90.00
_space_group_name_H-M_alt 'P m c 21'
_space_group_IT_number 26
loop_
_space_group_symop_operation_xyz
'x,y,z'
'-x,-y,z+1/2'
'-x,y,z'
'x,-y,z+1/2'
loop_
_atom_site_label
_atom_site_type_symbol
_atom_site_fract_x
_atom_site_fract_y
_atom_site_fract_z
_atom_site_occupancy
Gd1 Gd 0.000 0.196 0.000 1
Te1 Te 0.500 0.371 0.544 1
P1 P 0.000 0.443 0.314 1
O1 O 0.500 0.086 0.909 1

(16)
# PBE-GGA GdTePO, relaxed
# raw total energy: -5.81 eV per atom
# volume: 29.2 A^3/atom
# polymorph energy (0 for the lowest one): 0.0 meV per atom
data_GdTePO
_cell_length_a 5.299
_cell_length_b 7.331
_cell_length_c 6.008
_cell_angle_alpha 90.00
_cell_angle_beta 90.00
_cell_angle_gamma 90.00
_space_group_name_H-M_alt 'P m c 21'
_space_group_IT_number 26
loop_
_space_group_symop_operation_xyz
'x,y,z'
'-x,-y,z+1/2'
'-x,y,z'
'x,-y,z+1/2'
loop_
_atom_site_label
_atom_site_type_symbol
_atom_site_fract_x
_atom_site_fract_y
_atom_site_fract_z
_atom_site_occupancy
Gd1 Gd 0.000 0.178 0.000 1
Te1 Te 0.500 0.325 0.593 1
P1 P 0.500 0.334 0.015 1
O1 O 0.000 0.051 0.303 1

(17)
# PBE-GGA GdTmPO, relaxed
# raw total energy: -6.74 eV per atom
# volume: 19.6 A^3/atom
# polymorph energy (0 for the lowest one): 264.5 meV per atom
data_GdTmPO
_cell_length_a 4.279
_cell_length_b 4.279
_cell_length_c 8.544
_cell_angle_alpha 90.00
_cell_angle_beta 90.00
_cell_angle_gamma 90.00
_space_group_name_H-M_alt 'P 4/n m m'
_space_group_IT_number 129
loop_
_space_group_symop_operation_xyz
'x,y,z'
'-x,-y,-z'
'-y+1/2,x,z'
'y+1/2,-x,-z'
'-x+1/2,-y+1/2,z'
'x+1/2,y+1/2,-z'
'y,-x+1/2,z'
'-y,x+1/2,-z'
'x+1/2,-y,-z'
'-x+1/2,y,z'
'-y,-x,-z'
'y,x,z'
'-x,y+1/2,-z'
'x,-y+1/2,z'
'y+1/2,x+1/2,-z'
'-y+1/2,-x+1/2,z'
loop_
_atom_site_label
_atom_site_type_symbol
_atom_site_fract_x
_atom_site_fract_y
_atom_site_fract_z
_atom_site_occupancy
Gd1 Gd 0.250 0.750 0.000 1
Tm1 Tm 0.250 0.250 0.404 1
P1 P 0.250 0.250 0.796 1
O1 O 0.250 0.750 0.500 1

(18)
# PBE-GGA GdTmPO, relaxed
# raw total energy: -6.91 eV per atom
# volume: 22.2 A^3/atom
# polymorph energy (0 for the lowest one): 94.7 meV per atom
data_GdTmPO
_cell_length_a 4.171
_cell_length_b 7.368
_cell_length_c 5.776
_cell_angle_alpha 90.00
_cell_angle_beta 90.00
_cell_angle_gamma 90.00
_space_group_name_H-M_alt 'P m c 21'
_space_group_IT_number 26
loop_
_space_group_symop_operation_xyz
'x,y,z'
'-x,-y,z+1/2'
'-x,y,z'
'x,-y,z+1/2'
loop_
_atom_site_label
_atom_site_type_symbol
_atom_site_fract_x
_atom_site_fract_y
_atom_site_fract_z
_atom_site_occupancy
Gd1 Gd 0.000 0.202 0.000 1
Tm1 Tm 0.500 0.381 0.566 1
P1 P 0.000 0.170 0.494 1
O1 O 0.500 0.336 0.939 1

(19)
# PBE-GGA GdTmPO, relaxed
# raw total energy: -7.00 eV per atom
# volume: 20.9 A^3/atom
# polymorph energy (0 for the lowest one): 0.0 meV per atom
data_GdTmPO
_cell_length_a 3.8945
_cell_length_b 3.8945
_cell_length_c 38.1666
_cell_angle_alpha 90.00
_cell_angle_beta 90.00
_cell_angle_gamma 120.00
_space_group_name_H-M_alt 'R -3 m'
_space_group_IT_number 166
_space_group_name_Hall '-R 3 2"'
loop_
_atom_site_label
_atom_site_type_symbol
_atom_site_fract_x
_atom_site_fract_y
_atom_site_fract_z
_atom_site_occupancy
Gd1 Gd 0.0000 0.0000 0.1289 1
Tm1 Tm 0.0000 0.0000 0.2928 1
P1 P 0.0000 0.0000 0.4105 1
O1 O 0.0000 0.0000 0.1893 1

(20)
# PBE-GGA GdTmPO, relaxed
# raw total energy: -6.83 eV per atom
# volume: 19.8 A^3/atom
# polymorph energy (0 for the lowest one): 176.1 meV per atom
data_GdTmPO
_cell_length_a 4.294
_cell_length_b 4.294
_cell_length_c 8.590
_cell_angle_alpha 90.00
_cell_angle_beta 90.00
_cell_angle_gamma 90.00
_space_group_name_H-M_alt 'P 4/n m m'
_space_group_IT_number 129
loop_
_space_group_symop_operation_xyz
'x,y,z'
'-x,-y,-z'
'-y+1/2,x,z'
'y+1/2,-x,-z'
'-x+1/2,-y+1/2,z'
'x+1/2,y+1/2,-z'
'y,-x+1/2,z'
'-y,x+1/2,-z'
'x+1/2,-y,-z'
'-x+1/2,y,z'
'-y,-x,-z'
'y,x,z'
'-x,y+1/2,-z'
'x,-y+1/2,z'
'y+1/2,x+1/2,-z'
'-y+1/2,-x+1/2,z'
loop_
_atom_site_label
_atom_site_type_symbol
_atom_site_fract_x
_atom_site_fract_y
_atom_site_fract_z
_atom_site_occupancy
Gd1 Gd 0.250 0.250 0.108 1
Tm1 Tm 0.250 0.750 0.500 1
P1 P 0.250 0.250 0.690 1
O1 O 0.250 0.750 0.000 1